Run P
# KHfIr3

A relaxed KHfIr3 crystal (PBE, the Alexandria database).

Cell and atoms, written as POSCAR:
```
KHfIr3
1.0
4.966 0.000 0.000
0.000 4.966 0.000
0.000 0.000 4.966
K Ir Hf
1 3 1
Cartesian
2.483 2.483 2.483
2.483 0.000 0.000
0.000 0.000 2.483
0.000 2.483 0.000
0.000 0.000 0.000
```

* space-group type: Pm-3m
* total magnetization: 1.1 μB/f.u.

Run Q
# KHfIr3

A relaxed KHfIr3 crystal (PBE, the Alexandria database).

Cell and atoms, written as POSCAR:
```
KHfIr3
1.0
4.627 0.000 0.000
0.000 4.627 0.000
0.000 0.000 4.627
Ir Hf K
3 1 1
Cartesian
0.000 0.000 2.313
0.000 2.313 0.000
2.313 0.000 0.000
2.313 2.313 2.313
0.000 0.000 0.000
```

* space-group type: Pm-3m
* total magnetization: 0.0 μB/f.u.

Most stable structure, least stable structure: run P, run Q.

Run P
# K2Hf2Ir

A relaxed K2Hf2Ir crystal (PBE, the Alexandria database).

Cell and atoms, written as POSCAR:
```
K2Hf2Ir
1.0
3.734 0.000 0.000
0.000 3.734 0.000
1.867 1.867 9.116
K Ir Hf
2 1 2
Cartesian
3.734 1.867 4.558
1.867 3.734 4.558
0.000 0.000 0.000
1.867 1.867 1.293
3.734 3.734 7.823
```

* space-group type: I4/mmm
* total magnetization: 0.7 μB/f.u.

Run Q
# K2Hf2Ir

A relaxed K2Hf2Ir crystal (PBE, the Alexandria database).

Cell and atoms, written as POSCAR:
```
K2Hf2Ir
1.0
-0.884 4.133 5.350
-0.017 -5.396 4.166
6.592 0.514 0.692
Ir K Hf
2 4 4
Cartesian
0.000 0.000 0.000
-0.450 -0.632 4.758
2.673 -1.260 7.412
3.117 -2.682 4.239
2.575 1.932 5.968
3.019 0.511 2.796
-0.748 -0.142 7.237
-0.591 1.857 4.249
-0.310 -3.121 5.267
-0.152 -1.122 2.279
```

* space-group type: P4/mbm
* total magnetization: 0.0 μB/f.u.

Most stable structure, least stable structure: run Q, run P.

Run P
# KHfIr2S

A relaxed KHfIr2S crystal (PBE, the Alexandria database).

Cell and atoms, written as POSCAR:
```
KHfIr2S
1.0
-2.501 1.917 -3.226
-4.139 -1.830 2.121
-0.368 3.733 2.503
S Hf Ir K
1 1 2 1
Cartesian
0.000 0.000 0.000
-3.504 1.910 0.699
-1.250 0.958 -1.613
-0.184 1.867 1.252
-2.070 -0.915 1.060
```

* space-group type: P4/mmm
* total magnetization: 0.0 μB/f.u.

Run Q
# KHfIr2S

A relaxed KHfIr2S crystal (PBE, the Alexandria database).

Cell and atoms, written as POSCAR:
```
KHfIr2S
1.0
-0.206 -0.392 -4.570
-5.033 -1.761 0.378
-1.533 4.318 -0.301
Ir S Hf K
2 1 1 1
Cartesian
-0.767 2.159 -0.150
-0.103 -0.196 -2.285
-3.386 1.082 -2.247
-2.517 -0.881 0.189
0.000 0.000 0.000
```

* space-group type: P4/mmm
* total magnetization: 0.7 μB/f.u.

Most stable structure, least stable structure: run P, run Q.